No. 1
## CeNdYLu (PBE)

Data for a relaxed CeNdYLu crystal.

The structure belongs to space group F-43m (No. 216); the cell edges are 8.030, 8.030 and 8.030 Å and the angles 90.00°, 90.00° and 90.00°. The asymmetric unit holds Ce at (0.000, 0.000, 0.000), Nd at (0.000, 0.000, 0.500), Y at (0.250, 0.250, 0.250) and Lu at (0.250, 0.250, 0.750).

Its total energy is -5.275 eV per atom. The calculation puts the calculated volume at 518 Å³ per cell. As for the formation enthalpy at 0 K: 0.1471 eV/atom.

=====

No. 2
## NaEuSiHg (PBE)

Data for a relaxed NaEuSiHg crystal.

The structure belongs to space group F-43m (No. 216); the cell edges are 7.336, 7.336 and 7.336 Å and the angles 90.00°, 90.00° and 90.00°. The asymmetric unit holds Na at (0.000, 0.000, 0.000), Eu at (0.000, 0.000, 0.500), Si at (0.250, 0.250, 0.750) and Hg at (0.250, 0.250, 0.250).

For the uncorrected formation energy, the calculation gives -5.0 kcal/mol of atoms. Its total energy is -4.545 eV per atom. The calculation puts the calculated volume at 395 Å³ per cell.

=====

No. 3
## ZrScTlZn (PBE)

Data for a relaxed ZrScTlZn crystal.

The structure belongs to space group F-43m (No. 216); the cell edges are 6.946, 6.946 and 6.946 Å and the angles 90.00°, 90.00° and 90.00°. The asymmetric unit holds Zr at (0.000, 0.000, 0.000), Sc at (0.000, 0.000, 0.500), Tl at (0.250, 0.250, 0.250) and Zn at (0.250, 0.250, 0.750).

Its total energy is -4.806 eV per atom. Its energy above the lowest structure with this stoichiometry is 0.057 eV/atom. The calculation puts the calculated volume at 335 Å³ per cell. As for the formation enthalpy at 0 K: -0.1759 eV/atom.

=====

No. 4
## HgBrCl2 (PBE)

Data for a relaxed HgBrCl2 crystal.

The structure belongs to space group Imm2 (No. 44); the cell edges are 3.899, 5.468 and 13.517 Å and the angles 90.00°, 90.00° and 90.00°. The asymmetric unit holds Hg at (0.000, 0.000, 0.000), Br at (0.000, 0.500, 0.645), Cl at (0.000, 0.000, 0.630) and Cl at (0.000, 0.500, 0.377).

For the uncorrected formation energy, the calculation gives -4.7 kcal/mol of atoms. Its total energy is -1.620 eV per atom. Its energy above the lowest structure with this stoichiometry is 0.054 eV/atom. The calculation puts the calculated volume at 288 Å³ per cell.

=====

No. 5
## BeAg2Bi (PBE)

Data for a relaxed BeAg2Bi crystal.

The structure belongs to space group Fm-3m (No. 225); the cell edges are 6.825, 6.825 and 6.825 Å and the angles 90.00°, 90.00° and 90.00°. The asymmetric unit holds Be at (0.000, 0.000, 0.000), Ag at (0.250, 0.250, 0.250) and Bi at (0.000, 0.000, 0.500).

Its total energy is -2.816 eV per atom. Its energy above the lowest structure with this stoichiometry is 0.077 eV/atom. The calculation puts the calculated volume at 318 Å³ per cell. As for the formation enthalpy at 0 K: 0.5114 eV/atom.

=====

No. 6
## ThCuPb (PBE)

Data for a relaxed ThCuPb crystal.

The structure belongs to space group Imm2 (No. 44); the cell edges are 4.586, 8.265 and 7.931 Å and the angles 90.00°, 90.00° and 90.00°. The asymmetric unit holds Th at (0.000, 0.000, 0.000), Th at (0.000, 0.500, 0.013), Cu at (0.000, 0.165, 0.337) and Pb at (0.000, 0.251, 0.671).

Its total energy is -5.284 eV per atom. The calculation puts the calculated volume at 301 Å³ per cell. As for the formation enthalpy at 0 K: -0.2091 eV/atom.

=====

No. 7
## RuPt2W (PBE)

Data for a relaxed RuPt2W crystal.

The structure belongs to space group Pmm2 (No. 25); the cell edges are 2.799, 4.451 and 4.874 Å and the angles 90.00°, 90.00° and 90.00°. The asymmetric unit holds Ru at (0.000, 0.000, 0.000), Pt at (0.500, 0.000, 0.506), Pt at (0.500, 0.500, 0.177) and W at (0.000, 0.500, 0.688).

Its total energy is -8.736 eV per atom. Its energy above the lowest structure with this stoichiometry is 0.033 eV/atom. The calculation puts the calculated volume at 61 Å³ per cell. As for the formation enthalpy at 0 K: -0.1588 eV/atom.

=====

No. 8
## DyYHf (PBE)

Data for a relaxed DyYHf crystal.

The structure belongs to space group P3m1 (No. 156); the cell edges are 3.3926, 3.3926 and 8.4226 Å and the angles 90.00°, 90.00° and 120.00°. The asymmetric unit holds Dy at (0.0000, 0.0000, 0.0000), Y at (0.6667, 0.3333, 0.3739) and Hf at (0.3333, 0.6667, 0.6889).

Its total energy is -6.868 eV per atom. Its energy above the lowest structure with this stoichiometry is 0.016 eV/atom. The calculation puts the calculated volume at 84 Å³ per cell. As for the formation enthalpy at 0 K: 0.1389 eV/atom.

=====

No. 9
## AcAg3Ge (PBE)

Data for a relaxed AcAg3Ge crystal.

The structure belongs to space group Cm (No. 8); the cell edges are 6.511, 6.504 and 6.379 Å and the angles 90.00°, 120.49° and 90.00°. The asymmetric unit holds Ac at (0.000, 0.000, 0.000), Ag at (0.012, 0.250, 0.525), Ag at (0.116, 0.500, 0.231) and Ge at (0.382, 0.000, 0.765).

Its total energy is -3.739 eV per atom. The calculation puts the calculated volume at 233 Å³ per cell. As for the formation enthalpy at 0 K: -0.2827 eV/atom.

=====

No. 10
## Si2HgF (PBE)

Data for a relaxed Si2HgF crystal.

The structure belongs to space group I-42d (No. 122); the cell edges are 4.361, 4.361 and 15.798 Å and the angles 90.00°, 90.00° and 90.00°. The asymmetric unit holds Si at (0.140, 0.250, 0.125), Hg at (0.000, 0.000, 0.500) and F at (0.000, 0.000, 0.000).

For the uncorrected formation energy, the calculation gives -3.1 kcal/mol of atoms. Its total energy is -3.389 eV per atom. Its energy above the lowest structure with this stoichiometry is 0.000 eV/atom. The calculation puts the calculated volume at 300 Å³ per cell.

=====

No. 11
## Tb8Er2Tm3 (PBE)

Data for a relaxed Tb8Er2Tm3 crystal.

The structure belongs to space group C2/m (No. 12); the cell edges are 20.006, 7.588 and 5.574 Å and the angles 90.00°, 90.02° and 90.00°. The asymmetric unit holds Tb at (0.107, 0.210, 0.000), Tb at (0.132, 0.500, 0.500), Tb at (0.168, 0.000, 0.501), Er at (0.241, 0.500, 0.999), Tm at (0.000, 0.215, 0.500) and Tm at (0.000, 0.500, 0.000).

Its total energy is -4.358 eV per atom. The calculation puts the calculated volume at 846 Å³ per cell. As for the formation enthalpy at 0 K: 0.2257 eV/atom.